The following is a PBE calculation of an optimized crystal structure of Ac4As2PSe, from Alexandria via LeMat-Bulk.

```
Ac4As2PSe
1.0
7.7857 0.0000 0.0000
0.0000 4.5047 0.0000
-2.5964 0.0000 7.3660
Ac As P Se
4 2 1 1
direct
0.2465 0.0000 0.2419 Ac
0.2516 0.5000 0.7566 Ac
0.7484 0.5000 0.2434 Ac
0.7535 0.0000 0.7581 Ac
0.0000 0.0000 0.5000 As
0.0000 0.5000 0.0000 As
0.5000 0.0000 0.0000 P
0.5000 0.5000 0.5000 Se
```

Output
Raw formation energy ... -1.63 eV per atom
Size of the total moment ... 0.000 μB/atom
Calculated volume ... 258.3 Å³ per cell
DFT total energy ... -5.9568 eV/atom


The following is a PBE calculation of an optimized crystal structure of SrTmGa, from Alexandria via LeMat-Bulk.

```
SrTmGa
1.0
5.1919 0.0000 0.0000
0.0000 5.2004 0.0000
0.0000 0.0000 13.5582
Sr Tm Ga
4 4 4
direct
0.0000 0.0000 0.1525 Sr
0.0000 0.0000 0.8475 Sr
0.5000 0.5000 0.1525 Sr
0.5000 0.5000 0.8475 Sr
0.0000 0.5000 0.3789 Tm
0.0000 0.5000 0.6211 Tm
0.5000 0.0000 0.3789 Tm
0.5000 0.0000 0.6211 Tm
0.0000 0.0000 0.5000 Ga
0.0000 0.5000 0.0000 Ga
0.5000 0.0000 0.0000 Ga
0.5000 0.5000 0.5000 Ga
```

Output
Formation energy from the elements ... -22.0 kJ per mole of atoms
Size of the total moment ... 0.000 μB/atom
Calculated volume ... 366.1 Å³ per cell
DFT total energy ... -3.2885 eV/atom


The following is a PBE calculation of an optimized crystal structure of Pm5Y2Er6, from Alexandria via LeMat-Bulk.

```
Pm5Y2Er6
1.0
11.6597 0.0000 0.0000
0.0000 20.4161 0.0000
0.0000 0.0000 3.5809
Pm Y Er
10 4 12
direct
0.0000 0.0000 0.0000 Pm
0.0887 0.2737 0.0000 Pm
0.1994 0.5497 0.0000 Pm
0.3006 0.0497 0.0000 Pm
0.4113 0.7737 0.0000 Pm
0.5000 0.5000 0.0000 Pm
0.5887 0.2263 0.0000 Pm
0.6994 0.9503 0.0000 Pm
0.8006 0.4503 0.0000 Pm
0.9113 0.7263 0.0000 Pm
0.1682 0.7110 0.5000 Y
0.3318 0.2110 0.5000 Y
0.6682 0.7890 0.5000 Y
0.8318 0.2890 0.5000 Y
0.0600 0.4191 0.5000 Er
0.0804 0.1320 0.5000 Er
0.1750 0.8642 0.0000 Er
0.3250 0.3642 0.0000 Er
0.4196 0.6320 0.5000 Er
0.4400 0.9191 0.5000 Er
0.5600 0.0809 0.5000 Er
0.5804 0.3680 0.5000 Er
0.6750 0.6358 0.0000 Er
0.8250 0.1358 0.0000 Er
0.9196 0.8680 0.5000 Er
0.9400 0.5809 0.5000 Er
```

Output
Formation energy from the elements ... 9.1 kJ per mole of atoms
Size of the total moment ... 0.000 μB/atom
Calculated volume ... 852.4 Å³ per cell
DFT total energy ... -4.8332 eV/atom


The following is a PBE calculation of an optimized crystal structure of CdAgSnSb, from Alexandria via LeMat-Bulk.

```
CdAgSnSb
1.0
7.3046 0.0000 0.0000
0.0000 7.3046 0.0000
0.0000 0.0000 7.3046
Cd Ag Sn Sb
4 4 4 4
direct
0.0000 0.0000 0.0000 Cd
0.0000 0.5000 0.5000 Cd
0.5000 0.0000 0.5000 Cd
0.5000 0.5000 0.0000 Cd
0.0000 0.0000 0.5000 Ag
0.0000 0.5000 0.0000 Ag
0.5000 0.0000 0.0000 Ag
0.5000 0.5000 0.5000 Ag
0.2500 0.2500 0.2500 Sn
0.2500 0.7500 0.7500 Sn
0.7500 0.2500 0.7500 Sn
0.7500 0.7500 0.2500 Sn
0.2500 0.2500 0.7500 Sb
0.2500 0.7500 0.2500 Sb
0.7500 0.2500 0.2500 Sb
0.7500 0.7500 0.7500 Sb
```

Output
Raw formation energy ... 0.15 eV per atom
Size of the total moment ... 0.000 μB/atom
Calculated volume ... 389.8 Å³ per cell
DFT total energy ... -2.8211 eV/atom


The following is a PBE calculation of an optimized crystal structure of Pd2W4N, from Alexandria via LeMat-Bulk.

```
Pd2W4N
1.0
4.1109 0.0000 0.0000
0.0000 4.1109 0.0000
0.0000 0.0000 12.8659
Pd W N
4 8 2
direct
0.0000 0.0000 0.1432 Pd
0.0000 0.0000 0.8568 Pd
0.5000 0.5000 0.3568 Pd
0.5000 0.5000 0.6432 Pd
0.0000 0.0000 0.3402 W
0.0000 0.0000 0.6598 W
0.0000 0.5000 0.0000 W
0.0000 0.5000 0.5000 W
0.5000 0.0000 0.0000 W
0.5000 0.0000 0.5000 W
0.5000 0.5000 0.1598 W
0.5000 0.5000 0.8402 W
0.0000 0.0000 0.5000 N
0.5000 0.5000 0.0000 N
```

Output
Raw formation energy ... 0.41 eV per atom
Size of the total moment ... 0.000 μB/atom
Calculated volume ... 217.4 Å³ per cell
DFT total energy ... -9.6614 eV/atom


The following is a PBE calculation of an optimized crystal structure of ErAl2Au, from Alexandria via LeMat-Bulk.

```
ErAl2Au
1.0
4.2507 0.0000 0.0000
0.0000 4.2507 0.0000
0.0000 0.0000 4.2719
Er Al Au
1 2 1
direct
0.0000 0.0000 0.0000 Er
0.0000 0.5000 0.5000 Al
0.5000 0.0000 0.5000 Al
0.5000 0.5000 0.0000 Au
```

Output
Formation energy from the elements ... -50.2 kJ per mole of atoms
Size of the total moment ... 0.000 μB/atom
Calculated volume ... 77.2 Å³ per cell
DFT total energy ... -4.3514 eV/atom


The following is a PBE calculation of an optimized crystal structure of TaCdS2Cl, from Alexandria via LeMat-Bulk.

```
TaCdS2Cl
1.0
4.9585 0.0000 0.0000
0.0000 4.9585 0.0000
0.0000 0.0000 4.8564
Ta Cd S Cl
1 1 2 1
direct
0.0000 0.0000 0.0000 Ta
0.5000 0.5000 0.5000 Cd
0.0000 0.5000 0.5000 S
0.5000 0.0000 0.5000 S
0.5000 0.5000 0.0000 Cl
```

Output
Raw formation energy ... 0.90 eV per atom
Size of the total moment ... 0.453 μB/atom
Calculated volume ... 119.4 Å³ per cell
DFT total energy ... -3.6718 eV/atom


The following is a PBE calculation of an optimized crystal structure of MgAl2Cd, from Alexandria via LeMat-Bulk.

```
MgAl2Cd
1.0
3.4384 0.0000 0.0000
0.0000 4.6166 0.0000
0.0000 0.0000 4.9751
Mg Al Cd
1 2 1
direct
0.0000 0.0000 0.0000 Mg
0.0000 0.5000 0.5000 Al
0.5000 0.0000 0.5000 Al
0.5000 0.5000 0.0000 Cd
```

Output
Formation energy from the elements ... 10.6 kJ per mole of atoms
Size of the total moment ... 0.000 μB/atom
Calculated volume ... 79.0 Å³ per cell
DFT total energy ... -2.3893 eV/atom


The following is a PBE calculation of an optimized crystal structure of Zr3RhO, from Alexandria via LeMat-Bulk.

```
Zr3RhO
1.0
4.4222 0.0000 0.0000
0.0000 4.4222 0.0000
0.0000 0.0000 4.4222
Zr Rh O
3 1 1
direct
0.0000 0.0000 0.5000 Zr
0.0000 0.5000 0.0000 Zr
0.5000 0.0000 0.0000 Zr
0.5000 0.5000 0.5000 Rh
0.0000 0.0000 0.0000 O
```

Output
Raw formation energy ... -1.21 eV per atom
Size of the total moment ... 0.000 μB/atom
Calculated volume ... 86.5 Å³ per cell
DFT total energy ... -8.7999 eV/atom


The following is a PBE calculation of an optimized crystal structure of MnPbCl4, from Alexandria via LeMat-Bulk.

```
MnPbCl4
1.0
0.0000 4.2438 4.2438
4.2438 0.0000 4.2438
4.2438 4.2438 0.0000
Mn Pb Cl
1 1 4
direct
0.0000 0.0000 0.0000 Mn
0.7500 0.7500 0.7500 Pb
0.3746 0.3746 0.3746 Cl
0.3746 0.3746 0.8762 Cl
0.3746 0.8762 0.3746 Cl
0.8762 0.3746 0.3746 Cl
```

Output
Raw formation energy ... 0.34 eV per atom
Size of the total moment ... 1.163 μB/atom
Calculated volume ... 152.9 Å³ per cell
DFT total energy ... -3.0370 eV/atom


The following is a PBE calculation of an optimized crystal structure of CuPBr2, from Alexandria via LeMat-Bulk.

```
CuPBr2
1.0
3.4817 0.0000 0.0000
0.0000 6.6132 0.0000
0.0000 0.0000 7.8654
Cu P Br
2 2 4
direct
0.0000 0.0000 0.0000 Cu
0.5000 0.5000 0.0000 Cu
0.0000 0.0000 0.5000 P
0.5000 0.5000 0.5000 P
0.0000 0.5000 0.2234 Br
0.0000 0.5000 0.7766 Br
0.5000 0.0000 0.2234 Br
0.5000 0.0000 0.7766 Br
```

Output
Raw formation energy ... 0.46 eV per atom
Size of the total moment ... 0.000 μB/atom
Calculated volume ... 181.1 Å³ per cell
DFT total energy ... -2.7571 eV/atom


The following is a PBE calculation of an optimized crystal structure of PmDy6Ho2Mg, from Alexandria via LeMat-Bulk.

```
PmDy6Ho2Mg
1.0
4.9887 -9.6431 0.0000
4.9887 9.6431 0.0000
-1.0130 0.0000 6.5215
Pm Dy Ho Mg
2 12 4 2
direct
0.0104 0.9896 0.7500 Pm
0.9896 0.0104 0.2500 Pm
0.0772 0.7879 0.4640 Dy
0.0862 0.5678 0.7826 Dy
0.2121 0.9228 0.0360 Dy
0.3084 0.4782 0.5190 Dy
0.4322 0.9138 0.7174 Dy
0.4782 0.3084 0.0190 Dy
0.5218 0.6916 0.9810 Dy
0.5678 0.0862 0.2826 Dy
0.6916 0.5218 0.4810 Dy
0.7879 0.0772 0.9640 Dy
0.9138 0.4322 0.2174 Dy
0.9228 0.2121 0.5360 Dy
0.1768 0.3447 0.0025 Ho
0.3447 0.1768 0.5025 Ho
0.6553 0.8232 0.4975 Ho
0.8232 0.6553 0.9975 Ho
0.2924 0.7076 0.2500 Mg
0.7076 0.2924 0.7500 Mg
```

Output
Formation energy from the elements ... 11.1 kJ per mole of atoms
Size of the total moment ... 0.000 μB/atom
Calculated volume ... 627.5 Å³ per cell
DFT total energy ... -4.1958 eV/atom